Entry 1:
A plane-wave DFT calculation with PBE was carried out for a geometry-optimized YErPtAu structure.

Values from the calculation:
D(E_F), states/eV per cell: 2.4
SG: No. 216
Total energy, Ry/atom: -0.45070
Crystal system: cubic

POSCAR file:
```
YErPtAu
1.0
0.0000 3.5338 3.5338
3.5338 0.0000 3.5338
3.5338 3.5338 0.0000
Y Er Pt Au
1 1 1 1
direct
0.0000 0.0000 0.0000
0.5000 0.5000 0.5000
0.7500 0.7500 0.7500
0.2500 0.2500 0.2500
```

---

Entry 2:
A plane-wave DFT calculation with PBE was carried out for a geometry-optimized YErPtAu structure.

Values from the calculation:
D(E_F), states/eV per cell: 2.1
SG: No. 38
Total energy, Ry/atom: -0.45416
Crystal system: orthorhombic

POSCAR file:
```
YErPtAu
1.0
4.5849 0.0000 0.0000
0.0000 1.8740 5.3392
0.0000 -1.8740 5.3392
Y Er Pt Au
1 1 1 1
direct
0.0000 0.0000 0.0000
0.5000 0.7234 0.7234
0.0000 0.2712 0.2712
0.5000 0.4474 0.4474
```

---

Entry 3:
A plane-wave DFT calculation with PBE was carried out for a geometry-optimized ErZrPtAu structure.

Values from the calculation:
D(E_F), states/eV per cell: 2.5
SG: No. 216
Total energy, Ry/atom: -0.47359
Crystal system: cubic

POSCAR file:
```
ErZrPtAu
1.0
0.0000 3.4525 3.4525
3.4525 0.0000 3.4525
3.4525 3.4525 0.0000
Er Zr Pt Au
1 1 1 1
direct
0.0000 0.0000 0.0000
0.5000 0.5000 0.5000
0.2500 0.2500 0.2500
0.7500 0.7500 0.7500
```

---

Entry 4:
A plane-wave DFT calculation with PBE was carried out for a geometry-optimized Er4PuAu5 structure.

Values from the calculation:
D(E_F), states/eV per cell: 12.5
SG: No. 123
Total energy, Ry/atom: -0.39983
Crystal system: tetragonal

POSCAR file:
```
Er4PuAu5
1.0
3.5346 0.0000 0.0000
0.0000 3.5346 0.0000
0.0000 0.0000 18.1906
Er Pu Au
4 1 5
direct
0.0000 0.0000 0.0996
0.0000 0.0000 0.2986
0.0000 0.0000 0.7014
0.0000 0.0000 0.9004
0.0000 0.0000 0.5000
0.5000 0.5000 0.0000
0.5000 0.5000 0.1983
0.5000 0.5000 0.3945
0.5000 0.5000 0.6055
0.5000 0.5000 0.8017
```

---

Entry 5:
A plane-wave DFT calculation with PBE was carried out for a geometry-optimized ErPuAu4 structure.

Values from the calculation:
D(E_F), states/eV per cell: 14.3
SG: No. 123
Total energy, Ry/atom: -0.43912
Crystal system: tetragonal

POSCAR file:
```
ErPuAu4
1.0
3.7371 0.0000 0.0000
0.0000 3.7371 0.0000
0.0000 0.0000 9.2536
Er Pu Au
1 1 4
direct
0.0000 0.0000 0.0000
0.5000 0.5000 0.5000
0.0000 0.0000 0.3254
0.0000 0.0000 0.6746
0.5000 0.5000 0.1601
0.5000 0.5000 0.8399
```

---

Entry 6:
A plane-wave DFT calculation with PBE was carried out for a geometry-optimized ErPuAu4 structure.

Values from the calculation:
D(E_F), states/eV per cell: 15.8
SG: No. 10
Total energy, Ry/atom: -0.42449
Crystal system: monoclinic

POSCAR file:
```
ErPuAu4
1.0
5.5212 0.0000 0.0000
0.0000 4.2254 0.0000
-2.3569 0.0000 6.4688
Er Pu Au
1 1 4
direct
0.0000 0.0000 0.0000
0.5000 0.5000 0.5000
0.0654 0.5000 0.7259
0.4377 0.0000 0.7837
0.5623 0.0000 0.2163
0.9346 0.5000 0.2741
```